A plane-wave DFT calculation with PBE was carried out for a relaxed Ac2ReBiO8 crystal.

a b c (Å): 5.3568 5.3568 7.2228
angles (deg): 90.05 90.05 91.23
Positions (direct):
Ac 0.0020 0.0020 0.2563
Ac 0.9980 0.9980 0.7437
Re 0.5000 0.5000 0.5000
Bi 0.5000 0.5000 0.0000
O 0.1991 0.1991 0.9987
O 0.2487 0.2487 0.5020
O 0.3279 0.6690 0.3031
O 0.3310 0.6721 0.6969
O 0.6690 0.3279 0.3031
O 0.6721 0.3310 0.6969
O 0.7513 0.7513 0.4980
O 0.8009 0.8009 0.0013

Results
* energy: -7.5525 eV per atom
* mass density: 7.8 g/cm³
* raw formation energy: -2201.5 meV/atom
* space-group type: No. 12

=====

A plane-wave DFT calculation with PBE was carried out for a relaxed ScTlRh crystal.

a b c (Å): 4.6651 4.6651 3.1314
angles (deg): 90.00 90.00 120.00
Positions (direct):
Sc 0.0000 0.0000 0.0000
Tl 0.6667 0.3333 0.5000
Rh 0.3333 0.6667 0.5038

Results
* DFT formation energy: -340 meV per atom
* energy: -5.6902 eV per atom
* mass density: 9.9 g/cm³
* space-group type: No. 156